# 1
The following is a PBE calculation of BaPrIn after structural relaxation, from the Alexandria database.

Lattice parameters (Å, degrees): 5.5115 5.5115 9.1316 90.05 90.05 60.03
Closest atoms and distances in Å follow each position.
Atoms (fractional coordinates):
1 Ba 0.1666 0.1666 0.3604  3 In 3.63, 3 Pr 4.03-4.04
2 Ba 0.8334 0.8334 0.6396  3 In 3.63, 3 Pr 4.03-4.04
3 Pr 0.1665 0.1665 0.9113  3 In 3.27, 3 Pr 3.57
4 Pr 0.8335 0.8335 0.0887  3 In 3.27, 3 Pr 3.57
5 In 0.5001 0.5001 0.1691  1 In 3.09, 3 Pr 3.27
6 In 0.4999 0.4999 0.8309  1 In 3.09, 3 Pr 3.27

- energy of formation from the pure elements (eV per atom) = -0.24
- symmetry = C2/m, No. 12
- energy above the most stable polymorph in this dataset (eV/f.u.) = 0.219
- crystal system = monoclinic

# 2
The following is a PBE calculation of Ba3PrIn4 after structural relaxation, from the Alexandria database.

Lattice parameters (Å, degrees): 4.1547 4.1547 16.9650 90.00 90.00 90.00
Closest atoms and distances in Å follow each position.
Atoms (fractional coordinates):
1 Ba 0.0000 0.0000 0.0000  8 In 3.65
2 Ba 0.0000 0.0000 0.2603  8 In 3.70-3.76, 1 Pr 4.07
3 Ba 0.0000 0.0000 0.7397  8 In 3.70-3.76, 1 Pr 4.07
4 Pr 0.0000 0.0000 0.5000  8 In 3.40
5 In 0.5000 0.5000 0.1276  8 Ba 3.65-3.70
6 In 0.5000 0.5000 0.3990  4 Pr 3.40, 1 In 3.43, 4 Ba 3.76
7 In 0.5000 0.5000 0.6010  4 Pr 3.40, 1 In 3.43, 4 Ba 3.76
8 In 0.5000 0.5000 0.8724  8 Ba 3.65-3.70

- energy of formation from the pure elements (eV per atom) = -0.40
- symmetry = P4/mmm, No. 123
- crystal system = tetragonal

# 3
The following is a PBE calculation of BaPr2In after structural relaxation, from the Alexandria database.

Lattice parameters (Å, degrees): 3.8168 3.8168 10.3780 90.00 90.00 90.00
Closest atoms and distances in Å follow each position.
Atoms (fractional coordinates):
1 Ba 0.0000 0.0000 0.0000  4 Ba 3.82, 8 Pr 4.16
2 Pr 0.5000 0.5000 0.3049  4 In 3.37
3 Pr 0.5000 0.5000 0.6951  4 In 3.37
4 In 0.0000 0.0000 0.5000  8 Pr 3.37

- energy of formation from the pure elements (eV per atom) = -0.13
- symmetry = P4/mmm, No. 123
- energy above the most stable polymorph in this dataset (eV/f.u.) = 0.000
- crystal system = tetragonal

# 4
The following is a PBE calculation of BaPrIn4 after structural relaxation, from the Alexandria database.

Lattice parameters (Å, degrees): 6.2783 6.2783 6.2783 60.00 60.00 60.00
Closest atoms and distances in Å follow each position.
Atoms (fractional coordinates):
1 Ba 0.0000 0.0000 0.0000  12 In 3.68, 4 Pr 3.84
2 Pr 0.7500 0.7500 0.7500  12 In 3.68, 4 Ba 3.84
3 In 0.3754 0.3754 0.3754  6 In 3.13-3.15
4 In 0.3754 0.3754 0.8739  6 In 3.13-3.15
5 In 0.3754 0.8739 0.3754  6 In 3.13-3.15
6 In 0.8739 0.3754 0.3754  6 In 3.13-3.15

- energy of formation from the pure elements (eV per atom) = -0.39
- symmetry = F-43m, No. 216
- crystal system = cubic

# 5
The following is a PBE calculation of Ba2PrInS5 after structural relaxation, from the Alexandria database.

Lattice parameters (Å, degrees): 9.5320 9.5320 13.0468 90.00 90.00 154.38
Closest atoms and distances in Å follow each position.
Atoms (fractional coordinates):
1 Ba 0.1141 0.8859 0.5000  8 S 3.20-3.48
2 Ba 0.1297 0.8703 0.1324  6 S 3.19-3.26
3 Ba 0.8703 0.1297 0.6324  6 S 3.19-3.26
4 Ba 0.8859 0.1141 0.0000  8 S 3.20-3.48
5 Pr 0.2123 0.7877 0.8370  5 S 2.74-2.93
6 Pr 0.7877 0.2123 0.3370  5 S 2.74-2.93
7 In 0.4496 0.5504 0.2584  4 S 2.43-2.60
8 In 0.5504 0.4496 0.7584  4 S 2.43-2.60
9 S 0.0478 0.9522 0.8659  2 In 2.54
10 S 0.2896 0.7104 0.4812  2 Pr 2.83
11 S 0.3185 0.6815 0.1880  1 In 2.60
12 S 0.3594 0.6406 0.8195  1 Pr 2.74
13 S 0.4953 0.5047 0.5897  1 In 2.43
14 S 0.5047 0.4953 0.0897  1 In 2.43
15 S 0.6406 0.3594 0.3195  1 Pr 2.74
16 S 0.6815 0.3185 0.6880  1 In 2.60
17 S 0.7104 0.2896 0.9812  2 Pr 2.83
18 S 0.9522 0.0478 0.3659  2 In 2.54

- symmetry = Cmc2_1, No. 36
- crystal system = orthorhombic

# 6
The following is a PBE calculation of Ba2PrIn2Sb4 after structural relaxation, from the Alexandria database.

Lattice parameters (Å, degrees): 8.8618 8.8618 8.2856 108.58 108.58 31.14
Closest atoms and distances in Å follow each position.
Atoms (fractional coordinates):
1 Ba 0.1276 0.1276 0.0728  7 Sb 3.65-3.69, 2 In 4.03
2 Ba 0.8724 0.8724 0.9272  7 Sb 3.65-3.69, 2 In 4.03
3 Pr 0.0000 0.0000 0.5000  6 Sb 3.27-3.36
4 In 0.3319 0.3319 0.5144  4 Sb 2.89-3.10
5 In 0.6681 0.6681 0.4856  4 Sb 2.89-3.10
6 Sb 0.2053 0.2053 0.7099  3 In 2.96-3.10
7 Sb 0.4955 0.4955 0.7679  1 In 2.89
8 Sb 0.5045 0.5045 0.2321  1 In 2.89
9 Sb 0.7947 0.7947 0.2901  3 In 2.96-3.10

- symmetry = C2/m, No. 12
- crystal system = monoclinic

# 7
The following is a PBE calculation of Ba2PrInSe4 after structural relaxation, from the Alexandria database.

Lattice parameters (Å, degrees): 7.7168 4.5594 8.0945 90.00 108.93 90.00
Closest atoms and distances in Å follow each position.
Atoms (fractional coordinates):
1 Ba 0.0000 0.0000 0.0000  6 Se 3.38-3.43
2 Ba 0.0000 0.5000 0.5000  6 Se 3.23-3.24
3 Pr 0.5000 0.0000 0.5000  6 Se 3.01-3.10
4 In 0.5000 0.5000 0.0000  6 Se 3.22-3.25
5 Se 0.2662 0.0000 0.7333  1 Pr 3.01, 2 Ba 3.24, 2 In 3.25
6 Se 0.2732 0.5000 0.2708  2 Pr 3.10, 1 In 3.22, 3 Ba 3.23-3.38
7 Se 0.7268 0.5000 0.7292  2 Pr 3.10, 1 In 3.22, 3 Ba 3.23-3.38
8 Se 0.7338 0.0000 0.2667  1 Pr 3.01, 2 Ba 3.24, 2 In 3.25

- symmetry = P2/m, No. 10
- crystal system = monoclinic

# 8
The following is a PBE calculation of Ba2PrInTe4 after structural relaxation, from the Alexandria database.

Lattice parameters (Å, degrees): 8.1959 4.8213 8.5419 90.00 108.80 90.00
Closest atoms and distances in Å follow each position.
Atoms (fractional coordinates):
1 Ba 0.0000 0.0000 0.0000  6 Te 3.57-3.59
2 Ba 0.0000 0.5000 0.5000  6 Te 3.45-3.46
3 Pr 0.5000 0.0000 0.5000  6 Te 3.22-3.29
4 In 0.5000 0.5000 0.0000  6 Te 3.36-3.41
5 Te 0.2684 0.0000 0.7406  1 Pr 3.22, 2 In 3.41, 3 Ba 3.46-3.59
6 Te 0.2746 0.5000 0.2667  2 Pr 3.29, 1 In 3.36, 3 Ba 3.45-3.57
7 Te 0.7254 0.5000 0.7333  2 Pr 3.29, 1 In 3.36, 3 Ba 3.45-3.57
8 Te 0.7316 0.0000 0.2594  1 Pr 3.22, 2 In 3.41, 3 Ba 3.46-3.59

- symmetry = P2/m, No. 10
- crystal system = monoclinic

# 9
The following is a PBE calculation of BaInPt2 after structural relaxation, from the Alexandria database.

Lattice parameters (Å, degrees): 6.1822 6.1822 6.1822 44.59 44.59 44.59
Closest atoms and distances in Å follow each position.
Atoms (fractional coordinates):
1 Ba 0.0000 0.0000 0.0000  8 Pt 3.27-3.54
2 In 0.5000 0.5000 0.5000  6 Pt 2.75
3 Pt 0.1962 0.1962 0.1962  3 In 2.75, 3 Pt 2.88
4 Pt 0.8038 0.8038 0.8038  3 In 2.75, 3 Pt 2.88

- energy of formation from the pure elements (eV per atom) = -0.67
- symmetry = R-3m, No. 166
- crystal system = trigonal

# 10
The following is a PBE calculation of Ba3InPt3 after structural relaxation, from the Alexandria database.

Lattice parameters (Å, degrees): 6.5697 6.5697 15.8404 110.37 110.37 41.06
Closest atoms and distances in Å follow each position.
Atoms (fractional coordinates):
1 Ba 0.0132 0.0132 0.3733  6 Pt 3.31-3.45, 4 In 3.49-3.65
2 Ba 0.1022 0.1022 0.9253  7 Pt 3.32-3.60
3 Ba 0.2389 0.2389 0.2265  5 Pt 3.27-3.50
4 Ba 0.7611 0.7611 0.7735  5 Pt 3.27-3.50
5 Ba 0.8978 0.8978 0.0747  7 Pt 3.32-3.60
6 Ba 0.9868 0.9868 0.6267  6 Pt 3.31-3.45, 4 In 3.49-3.65
7 In 0.2604 0.2604 0.5865  4 Pt 2.80-2.85
8 In 0.7396 0.7396 0.4135  4 Pt 2.80-2.85
9 Pt 0.3785 0.3785 0.4638  1 Pt 2.78, 3 In 2.80-2.83
10 Pt 0.3933 0.3933 0.9228  2 Pt 2.85
11 Pt 0.4445 0.4445 0.7615  1 Pt 2.85, 1 In 2.85
12 Pt 0.5555 0.5555 0.2385  1 Pt 2.85, 1 In 2.85
13 Pt 0.6067 0.6067 0.0772  2 Pt 2.85
14 Pt 0.6215 0.6215 0.5362  1 Pt 2.78, 3 In 2.80-2.83

- energy of formation from the pure elements (eV per atom) = -0.71
- symmetry = C2/m, No. 12
- energy above the most stable polymorph in this dataset (eV/f.u.) = 0.000
- crystal system = monoclinic

# 11
The following is a PBE calculation of Ba2InPt after structural relaxation, from the Alexandria database.

Lattice parameters (Å, degrees): 4.4936 4.4936 9.4393 103.80 103.80 60.09
Closest atoms and distances in Å follow each position.
Atoms (fractional coordinates):
1 Ba 0.2332 0.2332 0.1998  3 Pt 3.17
2 Ba 0.7668 0.7668 0.8002  3 Pt 3.17
3 In 0.0000 0.0000 0.5000  6 Ba 3.76
4 Pt 0.5000 0.5000 0.0000  6 Ba 3.17

- energy of formation from the pure elements (eV per atom) = -0.45
- symmetry = C2/m, No. 12
- crystal system = monoclinic

# 12
The following is a PBE calculation of BaIn6Pt3 after structural relaxation, from the Alexandria database.

Lattice parameters (Å, degrees): 6.5491 6.5682 7.6303 90.17 115.39 119.90
Closest atoms and distances in Å follow each position.
Atoms (fractional coordinates):
1 Ba 0.0000 0.0000 0.0000  1 Pt 3.17, 3 In 3.53-3.54
2 In 0.2335 0.6979 0.3564  3 Pt 2.72-2.86
3 In 0.3119 0.9036 0.7595  3 Pt 2.73-2.79
4 In 0.3517 0.4463 0.7595  3 Pt 2.73-2.78
5 In 0.6602 0.5365 0.3586  3 Pt 2.71-2.86
6 In 0.8217 0.1241 0.3576  3 Pt 2.71-2.87
7 In 0.8574 0.4085 0.7617  3 Pt 2.73-2.78
8 Pt 0.3209 0.1592 0.4781  6 In 2.73-2.87
9 Pt 0.3886 0.6935 0.0792  6 In 2.71-2.79
10 Pt 0.7018 0.3504 0.0538  6 In 2.78-2.80

- energy of formation from the pure elements (eV per atom) = -0.41
- symmetry = P1, No. 1
- crystal system = triclinic

| no. | energy (eV per atom) |
| --- | --- |
| 1 | -3.387 |
| 2 | -3.092 |
| 3 | -3.685 |
| 4 | -3.337 |
| 5 | -5.249 |
| 6 | -4.115 |
| 7 | -4.775 |
| 8 | -4.336 |
| 9 | -4.858 |
| 10 | -4.512 |
| 11 | -3.608 |
| 12 | -4.055 |